Entry from Alexandria: RbCrHgF6 after structural relaxation (PBE+U).

Computed properties:
The size of the total moment is 3.00 μB per formula unit. As for the symmetry: C2. For the density of states at the Fermi level, the calculation gives 0.00 states/eV/f.u. The value obtained for the total energy is -41.3 eV for the cell shown. As for the crystal system: monoclinic.

a b c (Å): 5.8654 5.8654 5.7320
angles (deg): 90.02 90.02 119.95
Last column: nearest neighbours and their distance in Å.
Element x y z (fractional)
Rb1 0.0000 0.0000 0.0000  6 F 2.83
Cr1 0.3332 0.6668 0.5000  6 F 1.96
Hg1 0.6668 0.3332 0.5000  6 F 2.35
F1 0.0492 0.6499 0.3086  1 Cr 1.96
F2 0.0499 0.4004 0.6924  1 Cr 1.96
F3 0.3494 0.3990 0.3087  1 Cr 1.96
F4 0.3501 0.9508 0.6914  1 Cr 1.96
F5 0.5996 0.9501 0.3076  1 Cr 1.96
F6 0.6010 0.6506 0.6913  1 Cr 1.96